No. 1
Compound: In2Co9
Source: OQMD via LeMat-Bulk
Functional: PBE
Structure: relaxed

Results
**Crystal system**: trigonal
**Final energy**: -5.9631 eV/atom
**Size of the total moment**: 15.09 μB per cell

Unit cell a=2.6558 b=2.6558 c=33.9344 alpha=90.00 beta=90.00 gamma=120.00
Space group P-3m1 (No. 164)
One atom of each set of equivalent atoms:
1 In 0.3333 0.6667 0.2961 (multiplicity 2)
2 Co 0.0000 0.0000 0.0000 (multiplicity 1)
3 Co 0.0000 0.0000 0.1703 (multiplicity 2)
4 Co 0.3333 0.6667 0.1129 (multiplicity 2)
5 Co 0.3333 0.6667 0.7740 (multiplicity 2)
6 Co 0.3333 0.6667 0.9436 (multiplicity 2)

No. 2
Compound: InCo7
Source: OQMD via LeMat-Bulk
Functional: PBE
Structure: relaxed

Results
**Crystal system**: orthorhombic
**Offset from the most stable computed form**: 0.0000 eV/atom
**Size of the total moment**: 16.04 μB per cell

Unit cell a=2.5804 b=3.4066 c=32.5334 alpha=90.00 beta=90.00 gamma=90.00
Space group Pmmn (No. 59, origin choice 2)
One atom of each set of equivalent atoms:
1 In 0.2500 0.2500 0.1971 (multiplicity 2)
2 Co 0.2500 0.2500 0.2887 (multiplicity 2)
3 Co 0.2500 0.2500 0.3656 (multiplicity 2)
4 Co 0.2500 0.2500 0.4425 (multiplicity 2)
5 Co 0.2500 0.2500 0.5190 (multiplicity 2)
6 Co 0.2500 0.2500 0.5957 (multiplicity 2)
7 Co 0.2500 0.2500 0.6722 (multiplicity 2)
8 Co 0.2500 0.2500 0.7472 (multiplicity 2)

No. 3
Compound: In3Co2
Source: OQMD via LeMat-Bulk
Functional: PBE
Structure: relaxed

Results
**Crystal system**: trigonal
**Final energy**: -4.2412 eV/atom
**Size of the total moment**: 0.01 μB per cell

Unit cell a=6.1624 b=6.1624 c=17.7877 alpha=90.00 beta=90.00 gamma=120.00
Space group R-3c (No. 167, hexagonal axes)
One atom of each set of equivalent atoms:
1 In 0.0000 0.3829 0.2500 (multiplicity 18)
2 Co 0.0000 0.0000 0.1824 (multiplicity 12)

What did the third record say?
Compound: In3Co2
Source: OQMD via LeMat-Bulk
Functional: PBE
Structure: relaxed

Results
**Crystal system**: trigonal
**Final energy**: -4.2412 eV/atom
**Size of the total moment**: 0.01 μB per cell

Unit cell a=6.1624 b=6.1624 c=17.7877 alpha=90.00 beta=90.00 gamma=120.00
Space group R-3c (No. 167, hexagonal axes)
One atom of each set of equivalent atoms:
1 In 0.0000 0.3829 0.2500 (multiplicity 18)
2 Co 0.0000 0.0000 0.1824 (multiplicity 12)

Question: What is the size of the total moment in the third record?
Answer: 0.01 μB per cell

Question: Which value of size of the total moment does entry 1 give?
Answer: 15.09 μB per cell

Question: Number 3 is which compound?
Answer: In3Co2